# Dy4Si2Cl3 | the Alexandria database | PBE | relaxed
# Total magnetic moment   0.00 μB/cell
# Uncorrected formation energy   -1370.1 meV/atom
# DOS at the Fermi energy   5.023 states/eV/cell
data_Dy4Si2Cl3
_cell_length_a 7.056
_cell_length_b 4.073
_cell_length_c 16.812
_cell_angle_alpha 90.00
_cell_angle_beta 90.02
_cell_angle_gamma 90.00
_space_group_name_H-M_alt 'C 1 2/m 1'
_space_group_IT_number 12
loop_
_space_group_symop_operation_xyz
'x,y,z'
'-x,-y,-z'
'-x,y,-z'
'x,-y,z'
'x+1/2,y+1/2,z'
'-x+1/2,-y+1/2,-z'
'-x+1/2,y+1/2,-z'
'x+1/2,-y+1/2,z'
loop_
_atom_site_label
_atom_site_type_symbol
_atom_site_fract_x
_atom_site_fract_y
_atom_site_fract_z
_atom_site_occupancy
Dy1 Dy 0.000 0.000 0.204 1
Dy2 Dy 0.166 0.500 0.388 1
Si1 Si 0.167 0.500 0.700 1
Cl1 Cl 0.000 0.000 0.500 1
Cl2 Cl 0.166 0.500 0.110 1